Density functional theory data (PBE with a Hubbard U) for crystalline CsYMnF6 at its relaxed geometry.

```
data_CsYMnF6
_chemical_formula_sum 'Cs2 Y2 Mn2 F12'
_space_group_name_H-M_alt 'C 1 2 1'
_space_group_IT_number 5
_cell_length_a 5.958
_cell_length_b 10.294
_cell_length_c 6.336
_cell_angle_alpha 90.00
_cell_angle_beta 90.09
_cell_angle_gamma 90.00
loop_
_space_group_symop_operation_xyz
'x,y,z'
'-x,y,-z'
'x+1/2,y+1/2,z'
'-x+1/2,y+1/2,-z'
loop_
_atom_site_label
_atom_site_type_symbol
_atom_site_fract_x
_atom_site_fract_y
_atom_site_fract_z
_atom_site_occupancy
Cs1 Cs 0.000 0.000 0.000 1
Y1 Y 0.000 0.333 0.500 1
Mn1 Mn 0.000 0.667 0.500 1
F1 F 0.109 0.503 0.686 1
F2 F 0.191 0.803 0.685 1
F3 F 0.198 0.195 0.688 1
```

Summary:
final energy: -6.233 eV per atom